Entry 1:
The following is a DFT calculation (PBEsol) of an optimized crystal structure of CsRbTe.

Lattice parameters (Å, degrees): 6.0784 6.0784 8.6086 90.00 90.00 90.00
Fractional coordinates of all 6 atoms:
1 Cs 0.2500 0.7500 0.0000
2 Cs 0.7500 0.2500 0.0000
3 Rb 0.2500 0.7500 0.5000
4 Rb 0.7500 0.2500 0.5000
5 Te 0.2500 0.2500 0.2621
6 Te 0.7500 0.7500 0.7379

Values from the calculation:
ΔE_f (raw): -1.00 eV per atom
density: 3.61 g cm⁻³
total magnetization: 0.00 μB per formula unit

=====

Entry 2:
The following is a DFT calculation (PBEsol) of an optimized crystal structure of La3Cd2.

Lattice parameters (Å, degrees): 5.2662 5.2662 6.5726 90.00 90.00 120.00
Fractional coordinates of all 5 atoms:
1 La 0.0000 0.0000 0.0000
2 La 0.3333 0.6667 0.3766
3 La 0.6667 0.3333 0.6234
4 Cd 0.3333 0.6667 0.8665
5 Cd 0.6667 0.3333 0.1335

Values from the calculation:
E_form: -0.10 eV/atom
density: 6.75 g cm⁻³
total magnetization: 0.00 μB per formula unit
polymorph energy (0 for the lowest one): 44.5 kJ/mol of formula units

=====

Entry 3:
The following is a DFT calculation (PBEsol) of an optimized crystal structure of Li4InCo.

Lattice parameters (Å, degrees): 4.8868 4.8868 4.8868 60.00 60.00 60.00
Fractional coordinates of all 6 atoms:
1 Li 0.1236 0.1236 0.1236
2 Li 0.1236 0.1236 0.6293
3 Li 0.1236 0.6293 0.1236
4 Li 0.6293 0.1236 0.1236
5 In 0.5000 0.5000 0.5000
6 Co 0.7500 0.7500 0.7500

Values from the calculation:
E_form: 0.17 eV/atom
density: 4.06 g cm⁻³
total magnetization: 0.85 μB per formula unit

=====

Entry 4:
The following is a DFT calculation (PBEsol) of an optimized crystal structure of HgH3Se.

Lattice parameters (Å, degrees): 3.8436 3.8436 3.8436 90.00 90.00 90.00
Fractional coordinates of all 5 atoms:
1 Hg 0.0000 0.0000 0.0000
2 H 0.0000 0.0000 0.5000
3 H 0.0000 0.5000 0.0000
4 H 0.5000 0.0000 0.0000
5 Se 0.5000 0.5000 0.5000

Values from the calculation:
density: 8.26 g cm⁻³
total magnetization: 0.00 μB per formula unit
final energy: -2.0368 eV/atom